Compound: Cd3AgPd6
Source: Alexandria via LeMat-Bulk
Functional: PBE-GGA
Structure: optimized geometry

Space-group type   No. 12
Final energy   -3.74 eV/atom
Formation enthalpy at 0 K   -0.0627 eV per atom

abc: 5.3975 5.3975 8.2933
angles: 116.47 116.47 59.95
With the nearest neighbours (Å) after each atom.
Fractional positions:
Cd 0.0000 0.0000 0.0000  4 Pd 2.67, 2 Cd 2.83
Cd 0.0763 0.0763 0.7114  5 Pd 2.68-2.85, 1 Cd 2.83
Cd 0.9237 0.9237 0.2886  5 Pd 2.68-2.85, 1 Cd 2.83
Ag 0.5000 0.5000 0.5000  10 Pd 2.87-3.14, 4 Cd 3.09
Pd 0.0700 0.5555 0.6838  4 Pd 2.62-2.88, 3 Cd 2.67-2.73, 1 Ag 2.87
Pd 0.3747 0.3747 0.0703  5 Cd 2.85-3.15, 3 Pd 2.88-3.11, 1 Ag 3.13
Pd 0.4445 0.9300 0.3162  4 Pd 2.62-2.88, 3 Cd 2.67-2.73, 1 Ag 2.87
Pd 0.5555 0.0700 0.6838  4 Pd 2.62-2.88, 3 Cd 2.67-2.73, 1 Ag 2.87
Pd 0.6253 0.6253 0.9297  5 Cd 2.85-3.15, 3 Pd 2.88-3.11, 1 Ag 3.13
Pd 0.9300 0.4445 0.3162  4 Pd 2.62-2.88, 3 Cd 2.67-2.73, 1 Ag 2.87